The following is a DFT calculation (PBE-GGA) of an optimized crystal structure of TaFe2Cl.

Mass density in g/cm3: 9.5
Spin magnetization in μB/cell: 4.100
E_form (uncorrected) in kJ/mol of atoms: 50.3
E in eV/atom: -7.1344
Crystal system: orthorhombic

abc: 2.8747 4.3335 4.5986
angles: 90.00 90.00 90.00
Each line ends with the local moment (μB).
Positions (direct):
Ta  0.5000  0.0000  0.5000  -0.42
Fe  0.0000  0.0000  0.0000  1.99
Fe  0.5000  0.5000  0.0000  2.65
Cl  0.0000  0.5000  0.5000  0.07